(1)
CsCuHgI2: relaxed, GGA-PBE.

Cell: 6.3787 5.0606 6.3787 Å, 90.00 90.00 90.00°
With the nearest neighbours (Å) after each atom.
Fractional positions:
Cu1 0.0000 0.5000 0.0000  2 Hg 2.53
I1 0.5000 0.0000 0.0000  2 Hg 3.19
I2 0.0000 0.0000 0.5000  2 Hg 3.19
Cs1 0.5000 0.5000 0.5000  8 I 4.07, 4 Cu 4.51
Hg1 0.0000 0.0000 0.0000  2 Cu 2.53

Results
V in Å³/cell: 206
Formation energy without anion corrections in meV per atom: -320
Symmetry: No. 123
Energy above the lowest structure with this stoichiometry in meV/atom: 269

=====

(2)
CaMoCl4: relaxed, GGA-PBE.

Cell: 5.9738 5.9738 5.9738 Å, 60.00 60.00 60.00°
With the nearest neighbours (Å) after each atom.
Fractional positions:
Cl1 0.3751 0.3751 0.3751  6 Cl 2.98-2.99
Cl2 0.3751 0.3751 0.8746  6 Cl 2.98-2.99
Cl3 0.3751 0.8746 0.3751  6 Cl 2.98-2.99
Cl4 0.8746 0.3751 0.3751  6 Cl 2.98-2.99
Mo1 0.7500 0.7500 0.7500  12 Cl 3.50, 4 Ca 3.66
Ca1 0.0000 0.0000 0.0000  12 Cl 3.50, 4 Mo 3.66

Results
V in Å³/cell: 151
Formation energy without anion corrections in meV per atom: 250
Symmetry: No. 216

=====

(3)
CaCe3Sn4: relaxed, GGA-PBE.

Cell: 3.4834 3.4834 18.2121 Å, 90.00 90.00 90.00°
With the nearest neighbours (Å) after each atom.
Fractional positions:
Sn1 0.0000 0.0000 0.1253  4 Ca 3.36, 4 Ce 3.37, 4 Sn 3.48
Sn2 0.0000 0.0000 0.8747  4 Ca 3.36, 4 Ce 3.37, 4 Sn 3.48
Sn3 0.0000 0.0000 0.3757  8 Ce 3.34-3.35, 4 Sn 3.48
Sn4 0.0000 0.0000 0.6243  8 Ce 3.34-3.35, 4 Sn 3.48
Ce1 0.5000 0.5000 0.5000  8 Sn 3.35, 4 Ce 3.48
Ce2 0.5000 0.5000 0.2518  8 Sn 3.34-3.37, 4 Ce 3.48
Ce3 0.5000 0.5000 0.7482  8 Sn 3.34-3.37, 4 Ce 3.48
Ca1 0.5000 0.5000 0.0000  8 Sn 3.36, 4 Ca 3.48

Results
V in Å³/cell: 221
Formation energy from the elements in eV/atom: -0.595
Symmetry: No. 123

=====

(4)
ReSi: relaxed, GGA-PBE.

Cell: 4.8060 4.8060 4.8060 Å, 51.82 51.82 51.82°
With the nearest neighbours (Å) after each atom.
Fractional positions:
Re1 0.6910 0.6910 0.6910  4 Si 2.47-2.65, 3 Re 2.50
Re2 0.3090 0.3090 0.3090  4 Si 2.47-2.65, 3 Re 2.50
Si1 0.1106 0.1106 0.1106  4 Re 2.47-2.65, 1 Si 2.75
Si2 0.8894 0.8894 0.8894  4 Re 2.47-2.65, 1 Si 2.75

Results
V in Å³/cell: 63
Formation energy without anion corrections in meV per atom: 147
Symmetry: No. 166

=====

| no. | DOS(E_F) (states/eV/f.u.) |
| --- | --- |
| 1 | 2.083 |
| 2 | 6.608 |
| 3 | 19.575 |
| 4 | 1.230 |